KCo2Re: relaxed, PBE.

The formation energy from the elements comes out at 671 kJ/mol of formula units. The total moment is 0.982 Bohr magnetons per cell. As for the volume: 15.60 A^3/atom. The crystal system is tetragonal. The energy above the lowest structure with this stoichiometry comes out at 1088 meV/atom.

It has space group I-4m2 (No. 119), with a = 3.770 Å, b = 3.770 Å, c = 8.785 Å, α = 90.00°, β = 90.00° and γ = 90.00°. Symmetry generates all atoms from K at (0.000, 0.000, 0.000), Co at (0.000, 0.000, 0.500), Co at (0.000, 0.500, 0.250) and Re at (0.000, 0.500, 0.750).